(1)
## KTc2Mo (PBE)

Data for a relaxed structure of KTc2Mo.

Cell and atoms, written as extended XYZ:
```
4
Lattice="-1.3341 2.6958 5.3123 1.3341 -2.6958 5.3123 1.3341 2.6958 -5.3123" Properties=species:S:1:pos:R:3 pbc="T T T"
K 0.0000 0.0000 0.0000
Tc 0.0000 0.0000 5.3925
Tc 0.0000 2.6958 2.2865
Mo 1.3341 0.0000 3.0904
```

- energy relative to the elements (eV per atom) = 1.2335
- M_tot (μB/atom) = 0.065
- SG = Imm2 (44)



(2)
## KTc2Mo2 (PBE)

Data for a relaxed structure of KTc2Mo2.

Cell and atoms, written as extended XYZ:
```
5
Lattice="-2.1470 2.1470 5.6481 2.1470 -2.1470 5.6481 2.1470 2.1470 -5.6481" Properties=species:S:1:pos:R:3 pbc="T T T"
K 0.0000 0.0000 0.0000
Tc 0.0000 0.0000 4.1829
Tc 0.0000 0.0000 7.1133
Mo 2.1470 0.0000 2.8241
Mo 0.0000 2.1470 2.8241
```

- energy relative to the elements (eV per atom) = 0.7319
- M_tot (μB/atom) = 0.000
- SG = I4/mmm (139)



(3)
## KTcMo2 (PBE)

Data for a relaxed structure of KTcMo2.

Cell and atoms, written as extended XYZ:
```
4
Lattice="2.8828 -4.9223 0.0000 2.8828 4.9223 0.0000 -0.7607 0.0000 2.5037" Properties=species:S:1:pos:R:3 pbc="T T T"
K 0.0000 0.0000 0.0000
Tc 2.8828 0.0000 0.0000
Mo 1.0610 2.4612 1.2518
Mo 1.0610 -2.4612 1.2518
```

- energy relative to the elements (eV per atom) = 1.3750
- M_tot (μB/atom) = 0.000
- SG = C2/m (12)



(4)
## KTcMo2 (PBE)

Data for a relaxed structure of KTcMo2.

Cell and atoms, written as extended XYZ:
```
4
Lattice="2.7593 -5.0470 0.0000 2.7593 5.0470 0.0000 0.0000 0.0000 2.5915" Properties=species:S:1:pos:R:3 pbc="T T T"
K 0.0000 0.0000 0.0000
Tc 2.7593 0.0000 0.0000
Mo 1.3796 2.5235 1.2958
Mo 1.3796 -2.5235 1.2958
```

- energy relative to the elements (eV per atom) = 1.4334
- M_tot (μB/atom) = 0.004
- SG = Cmmm (65)



(5)
## KTc3Mo (PBE)

Data for a relaxed structure of KTc3Mo.

Cell and atoms, written as extended XYZ:
```
5
Lattice="4.8260 0.0000 0.0000 0.0000 4.8260 0.0000 0.0000 0.0000 4.8260" Properties=species:S:1:pos:R:3 pbc="T T T"
K 0.0000 0.0000 0.0000
Tc 0.0000 2.4130 2.4130
Tc 2.4130 0.0000 2.4130
Tc 2.4130 2.4130 0.0000
Mo 2.4130 2.4130 2.4130
```

- energy relative to the elements (eV per atom) = 1.6672
- M_tot (μB/atom) = 0.644
- SG = Pm-3m (221)



(6)
## KTc2Mo (PBE)

Data for a relaxed structure of KTc2Mo.

Cell and atoms, written as extended XYZ:
```
4
Lattice="2.7227 0.0000 0.0000 0.0000 4.2232 0.0000 -0.7499 0.0000 7.6205" Properties=species:S:1:pos:R:3 pbc="T T T"
K 0.0000 0.0000 0.0000
Tc 0.0308 2.1116 4.9755
Tc 1.9420 2.1116 2.6450
Mo 0.9864 0.0000 3.8102
```

- energy relative to the elements (eV per atom) = 0.8527
- M_tot (μB/atom) = 0.000
- SG = P2/m (10)



(7)
## KTc2Mo (PBE)

Data for a relaxed structure of KTc2Mo.

Cell and atoms, written as extended XYZ:
```
4
Lattice="2.7931 0.0000 0.0000 0.0000 4.9391 0.0000 0.0000 0.0000 4.9687" Properties=species:S:1:pos:R:3 pbc="T T T"
K 0.0000 0.0000 0.0000
Tc 0.0000 2.4695 2.4843
Tc 1.3966 2.4695 0.0000
Mo 1.3966 0.0000 2.4843
```

- energy relative to the elements (eV per atom) = 1.5743
- M_tot (μB/atom) = 0.000
- SG = Pmmm (47)



(8)
## KTeMo (PBE)

Data for a relaxed structure of KTeMo.

Cell and atoms, written as extended XYZ:
```
3
Lattice="-1.7647 1.7647 6.6683 1.7647 -1.7647 6.6683 1.7647 1.7647 -6.6683" Properties=species:S:1:pos:R:3 pbc="T T T"
K 0.0000 0.0000 0.0000
Te 0.0000 0.0000 9.4470
Mo 0.0000 0.0000 3.9182
```

- M_tot (μB/atom) = 0.413
- uncorrected formation energy (eV/atom) = 0.383
- SG = I4mm (107)



(9)
## KTeMo (PBE)

Data for a relaxed structure of KTeMo.

Cell and atoms, written as extended XYZ:
```
3
Lattice="4.8023 0.0000 0.0000 -2.4012 4.1589 0.0000 0.0000 0.0000 5.3093" Properties=species:S:1:pos:R:3 pbc="T T T"
K 0.0000 0.0000 0.0000
Te 2.4012 1.3863 2.6546
Mo 0.0000 2.7726 2.6546
```

- M_tot (μB/atom) = 1.390
- uncorrected formation energy (eV/atom) = 0.494
- SG = P-6m2 (187)



(10)
## KTeMo (PBE)

Data for a relaxed structure of KTeMo.

Cell and atoms, written as extended XYZ:
```
3
Lattice="3.5165 0.0000 0.0000 -1.7582 3.0453 0.0000 0.0000 0.0000 7.6947" Properties=species:S:1:pos:R:3 pbc="T T T"
K 0.0000 0.0000 0.0000
Te 0.0000 2.0302 4.6933
Mo 1.7582 1.0151 2.9582
```

- M_tot (μB/atom) = 0.314
- uncorrected formation energy (eV/atom) = 0.507
- SG = P3m1 (156)



(11)
## KTe2Mo (PBE)

Data for a relaxed structure of KTe2Mo.

Cell and atoms, written as extended XYZ:
```
4
Lattice="-1.7735 1.8620 8.4552 1.7735 -1.8620 8.4552 1.7735 1.8620 -8.4552" Properties=species:S:1:pos:R:3 pbc="T T T"
K 0.0000 0.0000 0.0000
Te 0.0000 0.0000 6.1357
Te 0.0000 1.8620 2.9004
Mo 1.7735 0.0000 4.1007
```

- M_tot (μB/atom) = 0.001
- uncorrected formation energy (eV/atom) = -0.162
- SG = Imm2 (44)



(12)
## KTe2Mo (PBE)

Data for a relaxed structure of KTe2Mo.

Cell and atoms, written as extended XYZ:
```
4
Lattice="-2.0508 3.5441 4.7306 2.0508 -3.5441 4.7306 2.0508 3.5441 -4.7306" Properties=species:S:1:pos:R:3 pbc="T T T"
K 0.0000 0.0000 0.0000
Te 2.0508 0.0000 2.8929
Te 0.0000 3.5441 1.8377
Mo 0.0000 0.0000 4.7306
```

- M_tot (μB/atom) = 0.750
- uncorrected formation energy (eV/atom) = 0.011
- SG = Immm (71)



(13)
## KTe4Mo (PBE)

Data for a relaxed structure of KTe4Mo.

Cell and atoms, written as extended XYZ:
```
6
Lattice="0.0000 4.6007 4.6007 4.6007 0.0000 4.6007 4.6007 4.6007 0.0000" Properties=species:S:1:pos:R:3 pbc="T T T"
K 0.0000 0.0000 0.0000
Te 3.4581 3.4581 3.4581
Te 5.7433 5.7433 3.4581
Te 5.7433 3.4581 5.7433
Te 3.4581 5.7433 5.7433
Mo 6.9011 6.9011 6.9011
```

- M_tot (μB/atom) = 0.854
- uncorrected formation energy (eV/atom) = 0.600
- SG = F-43m (216)



(14)
## KTe2Mo (PBE)

Data for a relaxed structure of KTe2Mo.

Cell and atoms, written as extended XYZ:
```
4
Lattice="0.0000 3.6303 3.6303 3.6303 0.0000 3.6303 3.6303 3.6303 0.0000" Properties=species:S:1:pos:R:3 pbc="T T T"
K 0.0000 0.0000 0.0000
Te 1.8151 1.8151 1.8151
Te 5.4454 5.4454 5.4454
Mo 3.6303 3.6303 3.6303
```

- M_tot (μB/atom) = 0.238
- uncorrected formation energy (eV/atom) = 0.276
- SG = Fm-3m (225)



(15)
## KTe2Mo (PBE)

Data for a relaxed structure of KTe2Mo.

Cell and atoms, written as extended XYZ:
```
4
Lattice="3.3615 0.0000 0.0000 0.0000 3.3615 0.0000 0.0000 0.0000 10.5051" Properties=species:S:1:pos:R:3 pbc="T T T"
K 0.0000 0.0000 0.0000
Te 0.0000 0.0000 4.3554
Te 1.6807 1.6807 7.8684
Mo 1.6807 1.6807 3.0212
```

- M_tot (μB/atom) = 0.234
- uncorrected formation energy (eV/atom) = 0.266
- SG = P4mm (99)



(16)
## KTe2Mo (PBE)

Data for a relaxed structure of KTe2Mo.

Cell and atoms, written as extended XYZ:
```
4
Lattice="3.4752 0.0000 0.0000 0.0000 4.1361 0.0000 -1.0285 0.0000 8.3179" Properties=species:S:1:pos:R:3 pbc="T T T"
K 0.0000 0.0000 0.0000
Te 0.6661 2.0680 5.9416
Te 1.7805 2.0680 2.3763
Mo 1.2233 0.0000 4.1589
```

- M_tot (μB/atom) = 0.727
- uncorrected formation energy (eV/atom) = 0.022
- SG = P2/m (10)



(17)
## KTe2Mo (PBE)

Data for a relaxed structure of KTe2Mo.

Cell and atoms, written as extended XYZ:
```
4
Lattice="0.0000 3.8449 3.8449 3.8449 0.0000 3.8449 3.8449 3.8449 0.0000" Properties=species:S:1:pos:R:3 pbc="T T T"
K 0.0000 0.0000 0.0000
Te 3.8449 3.8449 3.8449
Te 5.7673 5.7673 5.7673
Mo 1.9224 1.9224 1.9224
```

- M_tot (μB/atom) = 0.761
- uncorrected formation energy (eV/atom) = 0.755
- SG = F-43m (216)



(18)
## KTeMo2 (PBE)

Data for a relaxed structure of KTeMo2.

Cell and atoms, written as extended XYZ:
```
4
Lattice="3.3787 0.0000 0.0000 0.0000 3.3787 0.0000 0.0000 0.0000 8.5235" Properties=species:S:1:pos:R:3 pbc="T T T"
K 0.0000 0.0000 0.0000
Te 1.6893 1.6893 5.6839
Mo 0.0000 0.0000 3.9543
Mo 1.6893 1.6893 2.7775
```

- M_tot (μB/atom) = 0.265
- uncorrected formation energy (eV/atom) = 0.427
- SG = P4mm (99)



(19)
## KTeMo2 (PBE)

Data for a relaxed structure of KTeMo2.

Cell and atoms, written as extended XYZ:
```
4
Lattice="-1.5905 2.9985 5.4832 1.5905 -2.9985 5.4832 1.5905 2.9985 -5.4832" Properties=species:S:1:pos:R:3 pbc="T T T"
K 0.0000 0.0000 0.0000
Te 0.0000 2.9985 2.2172
Mo 1.5905 0.0000 3.4085
Mo 0.0000 0.0000 5.1347
```

- M_tot (μB/atom) = 0.015
- uncorrected formation energy (eV/atom) = 0.816
- SG = Imm2 (44)



(20)
## KTe2Mo (PBE)

Data for a relaxed structure of KTe2Mo.

Cell and atoms, written as extended XYZ:
```
4
Lattice="3.3198 0.0000 0.0000 0.0000 5.8924 0.0000 0.0000 0.0000 5.8954" Properties=species:S:1:pos:R:3 pbc="T T T"
K 0.0000 0.0000 0.0000
Te 1.6599 0.0000 2.9492
Te 1.6599 2.9462 0.0443
Mo 1.6599 2.9462 3.0067
```

- M_tot (μB/atom) = 0.893
- uncorrected formation energy (eV/atom) = 0.228
- SG = Pmm2 (25)